1.
Compound: K3As2Se4
Source: the Alexandria database
Functional: PBE
Structure: relaxed

Geometry as POSCAR:
```
K3As2Se4
1.0
6.901 0.080 0.057
0.426 9.359 -0.825
0.426 2.235 9.126
K Se As
6 8 4
Direct
0.750 0.383 0.617 K
0.250 0.617 0.383 K
0.890 0.995 0.259 K
0.390 0.259 0.995 K
0.610 0.741 0.005 K
0.110 0.005 0.741 K
0.384 0.961 0.233 Se
0.104 0.253 0.394 Se
0.116 0.767 0.039 Se
0.896 0.747 0.606 Se
0.604 0.394 0.253 Se
0.884 0.233 0.961 Se
0.396 0.606 0.747 Se
0.616 0.039 0.767 Se
0.085 0.604 0.872 As
0.915 0.396 0.128 As
0.415 0.128 0.396 As
0.585 0.872 0.604 As
```

Results
relative energy among the computed polymorphs = 0.040 eV per atom
energy relative to the elements, uncorrected = -662 meV/atom
raw total energy = -3.6102 eV per atom
space-group type = C2/c, No. 15

2.
Compound: Ag6Sn5
Source: the Alexandria database
Functional: PBE
Structure: relaxed

Geometry as POSCAR:
```
Ag6Sn5
1.0
-0.004 -5.229 -2.483
6.859 -2.138 -0.890
3.328 -3.708 5.112
Sn Ag
5 6
Direct
0.000 0.656 0.689 Sn
0.500 0.500 0.000 Sn
0.000 0.344 0.311 Sn
0.500 0.772 0.457 Sn
0.500 0.228 0.543 Sn
0.269 0.169 0.000 Ag
0.192 0.943 0.763 Ag
0.808 0.294 0.763 Ag
0.192 0.706 0.237 Ag
0.808 0.057 0.237 Ag
0.731 0.831 0.000 Ag
```

Results
raw total energy = -3.3207 eV per atom
space-group type = C2/m, No. 12

3.
Compound: ScAg2Sn2S6
Source: the Alexandria database
Functional: PBE
Structure: relaxed

Geometry as POSCAR:
```
ScAg2Sn2S6
1.0
6.554 0.022 0.057
-3.220 5.709 0.057
-1.209 -2.078 6.312
Ag S Sn Sc
2 6 2 1
Direct
0.168 0.832 0.000 Ag
0.832 0.168 0.000 Ag
0.077 0.409 0.733 S
0.923 0.591 0.267 S
0.591 0.923 0.267 S
0.759 0.759 0.734 S
0.241 0.241 0.266 S
0.409 0.077 0.733 S
0.333 0.667 0.500 Sn
0.667 0.333 0.500 Sn
0.000 0.000 0.500 Sc
```

Results
energy relative to the elements, uncorrected = -614 meV/atom
raw total energy = -4.6876 eV per atom
space-group type = C2/m, No. 12

4.
Compound: CaLa2As
Source: the Alexandria database
Functional: PBE
Structure: relaxed

Geometry as POSCAR:
```
CaLa2As
1.0
3.784 0.000 0.000
0.000 3.778 0.149
0.000 3.407 9.863
Ca La As
1 2 1
Direct
0.500 0.750 0.750 Ca
0.000 0.920 0.079 La
0.000 0.580 0.421 La
0.500 0.250 0.250 As
```

Results
raw total energy = -4.7014 eV per atom
space-group type = P2/m, No. 10

5.
Compound: La5Hg2Ge
Source: the Alexandria database
Functional: PBE
Structure: relaxed

Geometry as POSCAR:
```
La5Hg2Ge
1.0
-2.104 1.217 4.866
-3.052 -6.148 0.218
10.665 -5.085 5.884
Hg La Ge
4 10 2
Direct
0.500 0.096 0.350 Hg
0.500 0.596 0.150 Hg
0.500 0.904 0.650 Hg
0.500 0.404 0.850 Hg
0.000 0.670 0.714 La
0.500 0.865 0.902 La
0.000 0.830 0.214 La
0.000 0.000 0.500 La
0.500 0.135 0.098 La
0.500 0.365 0.598 La
0.500 0.635 0.402 La
0.000 0.500 0.000 La
0.000 0.330 0.286 La
0.000 0.170 0.786 La
0.000 0.000 0.000 Ge
0.000 0.500 0.500 Ge
```

Results
raw total energy = -4.1947 eV per atom
space-group type = Pbam, No. 55

6.
Compound: Pr3Sm5Th2
Source: the Alexandria database
Functional: PBE
Structure: relaxed

Geometry as POSCAR:
```
Pr3Sm5Th2
1.0
8.191 1.125 -3.628
-0.220 8.235 -3.677
-1.083 -1.192 11.289
Sm Pr Th
10 6 4
Direct
0.630 0.879 0.260 Sm
0.469 0.719 0.437 Sm
0.280 0.530 0.061 Sm
0.531 0.281 0.563 Sm
0.131 0.381 0.260 Sm
0.720 0.470 0.939 Sm
0.969 0.219 0.438 Sm
0.031 0.781 0.562 Sm
0.869 0.619 0.740 Sm
0.370 0.121 0.740 Sm
0.980 0.231 0.748 Pr
0.222 0.972 0.943 Pr
0.778 0.028 0.057 Pr
0.732 0.482 0.252 Pr
0.268 0.518 0.748 Pr
0.020 0.769 0.252 Pr
0.242 0.992 0.255 Th
0.513 0.263 0.255 Th
0.487 0.737 0.745 Th
0.758 0.008 0.745 Th
```

Results
raw total energy = -5.0781 eV per atom
space-group type = C2/c, No. 15

7.
Compound: RbHgRhPb2
Source: the Alexandria database
Functional: PBE
Structure: relaxed

Geometry as POSCAR:
```
RbHgRhPb2
1.0
5.362 0.000 0.000
0.000 5.362 0.000
0.000 0.000 5.492
Rh Pb Hg Rb
1 2 1 1
Direct
0.000 0.000 0.000 Rh
0.000 0.500 0.000 Pb
0.500 0.000 0.000 Pb
0.000 0.000 0.500 Hg
0.500 0.500 0.500 Rb
```

Results
raw total energy = -3.2325 eV per atom
space-group type = P4/mmm, No. 123

8.
Compound: Y2TcPt
Source: the Alexandria database
Functional: PBE
Structure: relaxed

Geometry as POSCAR:
```
Y2TcPt
1.0
-1.353 4.436 -1.375
-3.052 2.558 2.747
1.592 3.874 2.421
Y Pt Tc
2 1 1
Direct
0.250 0.250 0.250 Y
0.000 0.000 0.000 Y
0.500 0.500 0.500 Pt
0.750 0.750 0.750 Tc
```

Results
raw total energy = -7.4029 eV per atom
space-group type = F-43m, No. 216

9.
Compound: K2SmErSe4
Source: the Alexandria database
Functional: PBE
Structure: relaxed

Geometry as POSCAR:
```
K2SmErSe4
1.0
-0.435 -4.160 0.700
7.069 -0.411 1.951
-4.288 1.567 6.652
Se Sm K Er
4 1 2 1
Direct
0.000 0.729 0.205 Se
0.500 0.758 0.792 Se
0.000 0.271 0.795 Se
0.500 0.242 0.208 Se
0.000 0.000 0.000 Sm
0.500 0.000 0.500 K
0.000 0.500 0.500 K
0.500 0.500 0.000 Er
```

Results
energy relative to the elements, uncorrected = -1756 meV/atom
raw total energy = -4.9329 eV per atom
space-group type = P2/m, No. 10

10.
Compound: Zr4FeBi
Source: the Alexandria database
Functional: PBE
Structure: relaxed

Geometry as POSCAR:
```
Zr4FeBi
1.0
-2.892 1.378 -2.637
2.678 -1.737 -3.845
-1.548 -7.379 -2.158
Fe Zr Bi
1 4 1
Direct
0.000 0.000 0.000 Fe
0.500 0.733 0.196 Zr
0.000 0.748 0.801 Zr
0.000 0.252 0.199 Zr
0.500 0.267 0.804 Zr
0.500 0.000 0.500 Bi
```

Results
relative energy among the computed polymorphs = 0.256 eV per atom
raw total energy = -7.7458 eV per atom
space-group type = P2/m, No. 10

11.
Compound: BaHo2Th
Source: the Alexandria database
Functional: PBE
Structure: relaxed

Geometry as POSCAR:
```
BaHo2Th
1.0
-2.927 0.852 -2.052
0.583 -2.980 -2.069
-6.331 -5.827 6.610
Ho Th Ba
2 1 1
Direct
0.000 0.000 0.211 Ho
0.000 0.000 0.789 Ho
0.500 0.500 0.000 Th
0.500 0.500 0.500 Ba
```

Results
relative energy among the computed polymorphs = 0.000 eV per atom
raw total energy = -4.5038 eV per atom
space-group type = P4/mmm, No. 123

12.
Compound: Mg2ZnO
Source: the Alexandria database
Functional: PBE
Structure: relaxed

Geometry as POSCAR:
```
Mg2ZnO
1.0
-2.965 2.301 4.639
-4.956 -2.810 -1.773
-2.977 -3.355 3.599
Zn O Mg
2 2 4
Direct
0.750 0.250 0.500 Zn
0.000 0.000 0.000 Zn
0.500 0.500 0.000 O
0.250 0.750 0.500 O
0.375 0.483 0.750 Mg
0.875 0.767 0.750 Mg
0.233 0.625 0.250 Mg
0.517 0.125 0.250 Mg
```

Results
relative energy among the computed polymorphs = 0.000 eV per atom
energy relative to the elements, uncorrected = -1083 meV/atom
raw total energy = -3.4385 eV per atom
space-group type = I-42d, No. 122

13.
Compound: TbHfC2
Source: the Alexandria database
Functional: PBE
Structure: relaxed

Geometry as POSCAR:
```
TbHfC2
1.0
-1.390 -3.317 0.098
0.763 -2.190 2.751
-4.485 0.035 3.625
Hf C Tb
1 2 1
Direct
0.496 0.496 0.511 Hf
0.221 0.221 0.338 C
0.106 0.106 0.683 C
0.677 0.677 0.969 Tb
```

Results
relative energy among the computed polymorphs = 0.310 eV per atom
raw total energy = -8.3701 eV per atom
space-group type = R3m, No. 160

14.
Compound: Tl2SbP
Source: the Alexandria database
Functional: PBE
Structure: relaxed

Geometry as POSCAR:
```
Tl2SbP
1.0
-8.802 0.877 3.850
-8.725 -2.766 3.048
-7.211 -1.523 6.224
Sb Tl P
1 2 1
Direct
0.770 0.770 0.770 Sb
0.001 0.001 0.001 Tl
0.239 0.239 0.239 Tl
0.490 0.490 0.490 P
```

Results
relative energy among the computed polymorphs = 0.000 eV per atom
energy relative to the elements, uncorrected = 78 meV/atom
raw total energy = -3.4878 eV per atom
space-group type = R3m, No. 160

15.
Compound: Fe2SbBr
Source: the Alexandria database
Functional: PBE
Structure: relaxed

Geometry as POSCAR:
```
Fe2SbBr
1.0
-3.585 -0.156 2.167
-3.536 -2.219 -0.381
1.893 -5.383 4.395
Fe Br Sb
2 1 1
Direct
0.016 0.016 0.935 Fe
0.736 0.736 0.809 Fe
0.277 0.277 0.130 Br
0.471 0.471 0.626 Sb
```

Results
relative energy among the computed polymorphs = 0.125 eV per atom
energy relative to the elements, uncorrected = 192 meV/atom
raw total energy = -5.4886 eV per atom
space-group type = Cm, No. 8

16.
Compound: RbHf2S4
Source: the Alexandria database
Functional: PBE
Structure: relaxed

Geometry as POSCAR:
```
RbHf2S4
1.0
-3.470 -0.990 -0.675
1.979 -3.916 -4.437
1.426 -3.647 8.000
S Hf Rb
4 2 1
Direct
0.160 0.503 0.321 S
0.840 0.497 0.679 S
0.342 0.003 0.684 S
0.658 0.997 0.316 S
0.752 0.755 0.504 Hf
0.248 0.245 0.496 Hf
0.500 0.500 0.000 Rb
```

Results
energy relative to the elements, uncorrected = -1589 meV/atom
raw total energy = -6.9293 eV per atom
space-group type = C2/m, No. 12

17.
Compound: Sc2AsF
Source: the Alexandria database
Functional: PBE
Structure: relaxed

Geometry as POSCAR:
```
Sc2AsF
1.0
-0.546 4.899 -2.285
-4.023 1.166 3.461
1.506 5.174 4.272
Sc As F
4 2 2
Direct
0.375 0.431 0.750 Sc
0.875 0.819 0.750 Sc
0.569 0.125 0.250 Sc
0.181 0.625 0.250 Sc
0.000 0.000 0.000 As
0.750 0.250 0.500 As
0.500 0.500 0.000 F
0.250 0.750 0.500 F
```

Results
relative energy among the computed polymorphs = 0.362 eV per atom
energy relative to the elements, uncorrected = -1487 meV/atom
raw total energy = -6.2830 eV per atom
space-group type = I-42d, No. 122

18.
Compound: Y3Cl
Source: the Alexandria database
Functional: PBE
Structure: relaxed

Geometry as POSCAR:
```
Y3Cl
1.0
6.168 -0.001 0.003
1.898 5.869 -0.003
-2.938 -4.440 3.115
Y Cl
3 1
Direct
0.965 0.309 0.657 Y
0.589 0.500 0.089 Y
0.348 0.691 0.657 Y
0.931 0.000 0.931 Cl
```

Results
relative energy among the computed polymorphs = 0.174 eV per atom
energy relative to the elements, uncorrected = -485 meV/atom
raw total energy = -5.7948 eV per atom
space-group type = Imm2, No. 44

19.
Compound: Nd2Tm8Tl
Source: the Alexandria database
Functional: PBE
Structure: relaxed

Geometry as POSCAR:
```
Nd2Tm8Tl
1.0
5.359 0.000 0.000
0.000 6.720 0.874
-2.680 -1.877 9.132
Tm Tl Nd
8 1 2
Direct
0.589 0.422 0.179 Tm
0.843 0.827 0.685 Tm
0.342 0.094 0.684 Tm
0.963 0.259 0.926 Tm
0.411 0.578 0.821 Tm
0.157 0.173 0.315 Tm
0.037 0.741 0.074 Tm
0.658 0.906 0.316 Tm
0.500 0.000 0.000 Tl
0.778 0.331 0.556 Nd
0.222 0.669 0.444 Nd
```

Results
raw total energy = -4.3434 eV per atom
space-group type = C2/m, No. 12

20.
Compound: YWAu2
Source: the Alexandria database
Functional: PBE
Structure: relaxed

Geometry as POSCAR:
```
YWAu2
1.0
-1.185 -7.673 -6.219
1.648 -8.243 -5.319
-0.691 -9.222 -3.666
W Au Y
1 2 1
Direct
0.250 0.250 0.250 W
0.994 0.994 0.994 Au
0.506 0.506 0.506 Au
0.750 0.750 0.750 Y
```

Results
relative energy among the computed polymorphs = 0.261 eV per atom
raw total energy = -6.1672 eV per atom
space-group type = R-3m, No. 166

21.
Compound: Ac2ZnP
Source: the Alexandria database
Functional: PBE
Structure: relaxed

Geometry as POSCAR:
```
Ac2ZnP
1.0
-3.841 0.641 0.218
-0.606 -2.694 -2.754
-0.575 -5.236 5.247
Ac P Zn
2 1 1
Direct
0.000 0.000 0.732 Ac
0.000 0.000 0.268 Ac
0.500 0.500 0.500 P
0.500 0.500 0.000 Zn
```

Results
relative energy among the computed polymorphs = 0.070 eV per atom
raw total energy = -4.3690 eV per atom
space-group type = P4/mmm, No. 123

22.
Compound: Tm8Pt2Pb
Source: the Alexandria database
Functional: PBE
Structure: relaxed

Geometry as POSCAR:
```
Tm8Pt2Pb
1.0
5.357 0.129 -0.851
-1.763 7.114 -3.030
0.151 -0.114 7.928
Tm Pt Pb
8 2 1
Direct
0.000 0.756 0.250 Tm
0.416 0.670 0.924 Tm
0.201 0.398 0.398 Tm
0.799 0.608 0.608 Tm
0.416 0.924 0.670 Tm
0.583 0.082 0.336 Tm
0.583 0.336 0.082 Tm
0.000 0.250 0.756 Tm
0.500 0.309 0.697 Pt
0.500 0.697 0.309 Pt
0.000 0.003 0.003 Pb
```

Results
raw total energy = -5.2409 eV per atom
space-group type = C2/m, No. 12

23.
Compound: CdCu
Source: the Alexandria database
Functional: PBE
Structure: relaxed

Geometry as POSCAR:
```
CdCu
1.0
-3.947 3.466 2.140
-0.829 -5.611 0.042
1.927 -0.255 3.966
Cd Cu
3 3
Direct
0.500 0.000 0.000 Cd
0.000 0.500 0.000 Cd
0.500 0.500 0.000 Cd
0.667 0.333 0.500 Cu
0.000 0.000 0.000 Cu
0.333 0.667 0.500 Cu
```

Results
raw total energy = -2.1189 eV per atom
space-group type = P6/mmm, No. 191

24.
Compound: In2CuHgBi
Source: the Alexandria database
Functional: PBE
Structure: relaxed

Geometry as POSCAR:
```
In2CuHgBi
1.0
-1.816 3.120 3.609
0.155 -3.821 3.381
5.062 1.394 1.342
In Bi Cu Hg
2 1 1 1
Direct
0.000 0.500 0.000 In
0.500 0.000 0.000 In
0.000 0.000 0.500 Bi
0.000 0.000 0.000 Cu
0.500 0.500 0.500 Hg
```

Results
relative energy among the computed polymorphs = 0.000 eV per atom
raw total energy = -2.5798 eV per atom
space-group type = P4/mmm, No. 123

25.
Compound: KLa2HoTe4
Source: the Alexandria database
Functional: PBE
Structure: relaxed

Geometry as POSCAR:
```
KLa2HoTe4
1.0
4.538 0.000 0.000
0.000 7.903 -0.180
0.000 2.759 7.525
La K Te Ho
2 1 4 1
Direct
0.500 0.000 0.500 La
0.000 0.000 0.000 La
0.500 0.500 0.000 K
0.000 0.249 0.264 Te
0.000 0.751 0.736 Te
0.500 0.260 0.735 Te
0.500 0.740 0.265 Te
0.000 0.500 0.500 Ho
```

Results
energy relative to the elements, uncorrected = -1414 meV/atom
raw total energy = -4.9265 eV per atom
space-group type = P2/m, No. 10